Record 1
Entry from Alexandria: a relaxed K2Hg2Au3 crystal (PBE-GGA).

a = 6.479 Å, b = 6.479 Å, c = 7.682 Å
α = 119.77°, β = 119.77°, γ = 44.77°
Atoms (fractional coordinates):
K1 0.162 0.162 0.274
K2 0.838 0.838 0.726
Hg1 0.147 0.147 0.764
Hg2 0.853 0.853 0.236
Au1 0.433 0.433 0.098
Au2 0.500 0.500 0.500
Au3 0.567 0.567 0.902

Properties
Its spin magnetization is 0.0 Bohr magnetons per cell. The space group is C2/m. The formation energy comes out at -253 meV per atom. For the total energy, the calculation gives -14.40 eV per cell.

Record 2
Entry from Alexandria: a relaxed ZrRu2W crystal (PBE-GGA).

a = 5.080 Å, b = 5.080 Å, c = 4.683 Å
α = 100.78°, β = 100.78°, γ = 33.76°
Atoms (fractional coordinates):
Zr1 0.000 0.000 0.000
Ru1 0.242 0.242 0.800
Ru2 0.509 0.509 0.502
W1 0.776 0.776 0.337

Properties
Its spin magnetization is 0.0 Bohr magnetons per cell. The space group is Cm. The formation energy comes out at -6 meV per atom. For the total energy, the calculation gives -40.08 eV per cell.

Record 3
Entry from Alexandria: a relaxed Cd3Pd3Pt2Au crystal (PBE-GGA).

a = 7.919 Å, b = 7.919 Å, c = 2.864 Å
α = 90.00°, β = 90.00°, γ = 120.00°
Atoms (fractional coordinates):
Cd1 0.000 0.689 0.000
Cd2 0.311 0.311 0.000
Cd3 0.689 0.000 0.000
Pd1 0.000 0.363 0.500
Pd2 0.363 0.000 0.500
Pd3 0.637 0.637 0.500
Pt1 0.333 0.667 0.000
Pt2 0.667 0.333 0.000
Au1 0.000 0.000 0.500

Properties
Its spin magnetization is 0.0 Bohr magnetons per cell. The space group is P-62m. The formation energy comes out at -205 meV per atom. For the total energy, the calculation gives -35.53 eV per cell.

Record 4
Entry from Alexandria: a relaxed HgB3H12 crystal (PBE-GGA).

a = 7.708 Å, b = 7.708 Å, c = 7.708 Å
α = 59.36°, β = 59.36°, γ = 59.36°
Atoms (fractional coordinates):
Hg1 0.000 0.000 0.000
Hg2 0.500 0.500 0.500
B1 0.171 0.774 0.328
B2 0.274 0.671 0.828
B3 0.328 0.171 0.774
B4 0.671 0.828 0.274
B5 0.774 0.328 0.171
B6 0.828 0.274 0.671
H1 0.055 0.670 0.448
H2 0.131 0.235 0.791
H3 0.144 0.931 0.347
H4 0.164 0.869 0.760
H5 0.170 0.555 0.948
H6 0.235 0.791 0.131
H7 0.260 0.369 0.664
H8 0.291 0.735 0.631
H9 0.347 0.144 0.931
H10 0.369 0.664 0.260
H11 0.431 0.644 0.847
H12 0.448 0.055 0.670
H13 0.555 0.948 0.170
H14 0.631 0.291 0.735
H15 0.644 0.847 0.431
H16 0.664 0.260 0.369
H17 0.670 0.448 0.055
H18 0.735 0.631 0.291
H19 0.760 0.164 0.869
H20 0.791 0.131 0.235
H21 0.847 0.431 0.644
H22 0.869 0.760 0.164
H23 0.931 0.347 0.144
H24 0.948 0.170 0.555

Properties
Its spin magnetization is 0.0 Bohr magnetons per cell. The space group is R3c. For the total energy, the calculation gives -115.50 eV per cell.

Record 5
Entry from Alexandria: a relaxed AcLa3Co crystal (PBE-GGA).

a = 7.618 Å, b = 7.618 Å, c = 8.799 Å
α = 125.08°, β = 125.08°, γ = 68.89°
Atoms (fractional coordinates):
Ac1 0.047 0.047 0.261
Ac2 0.953 0.953 0.739
La1 0.038 0.465 0.796
La2 0.462 0.462 0.670
La3 0.465 0.038 0.796
La4 0.535 0.962 0.204
La5 0.538 0.538 0.330
La6 0.962 0.535 0.204
Co1 0.258 0.258 0.135
Co2 0.742 0.742 0.865

Properties
Its spin magnetization is 0.0 Bohr magnetons per cell. The space group is C2/m. The formation energy comes out at -91 meV per atom. For the total energy, the calculation gives -52.90 eV per cell.

Record 6
Entry from Alexandria: a relaxed Zn2TcSe crystal (PBE-GGA).

a = 3.498 Å, b = 3.498 Å, c = 5.099 Å
α = 90.00°, β = 90.00°, γ = 90.00°
Atoms (fractional coordinates):
Zn1 0.000 0.000 0.238
Zn2 0.000 0.000 0.762
Tc1 0.500 0.500 0.000
Se1 0.500 0.500 0.500

Properties
Its spin magnetization is 0.2 Bohr magnetons per cell. The uncorrected formation energy is 0.185 eV/atom. The space group is P4/mmm. For the total energy, the calculation gives -15.66 eV per cell.

Record 7
Entry from Alexandria: a relaxed Tc3HRu crystal (PBE-GGA).

a = 4.680 Å, b = 4.680 Å, c = 4.680 Å
α = 90.00°, β = 90.00°, γ = 90.00°
Atoms (fractional coordinates):
Tc1 0.000 0.000 0.500
Tc2 0.000 0.500 0.000
Tc3 0.500 0.000 0.000
H1 0.500 0.500 0.500
Ru1 0.000 0.000 0.000

Properties
Its spin magnetization is 3.9 Bohr magnetons per cell. The space group is Pm-3m. For the total energy, the calculation gives -31.82 eV per cell.

Record 8
Entry from Alexandria: a relaxed TmSc2Cd2 crystal (PBE-GGA).

a = 13.252 Å, b = 13.252 Å, c = 5.113 Å
α = 90.00°, β = 90.00°, γ = 164.57°
Atoms (fractional coordinates):
Tm1 0.151 0.849 0.750
Tm2 0.849 0.151 0.250
Sc1 0.047 0.953 0.250
Sc2 0.238 0.762 0.250
Sc3 0.762 0.238 0.750
Sc4 0.953 0.047 0.750
Cd1 0.358 0.642 0.750
Cd2 0.452 0.548 0.250
Cd3 0.548 0.452 0.750
Cd4 0.642 0.358 0.250

Properties
Its spin magnetization is 0.0 Bohr magnetons per cell. The space group is Cmcm. The formation energy comes out at -233 meV per atom. For the total energy, the calculation gives -40.26 eV per cell.

Record 9
Entry from Alexandria: a relaxed La2ZnGaH crystal (PBE-GGA).

a = 5.159 Å, b = 5.159 Å, c = 4.019 Å
α = 90.00°, β = 90.00°, γ = 90.00°
Atoms (fractional coordinates):
La1 0.000 0.500 0.000
La2 0.500 0.000 0.000
Zn1 0.000 0.000 0.500
Ga1 0.500 0.500 0.500
H1 0.000 0.000 0.000

Properties
Its spin magnetization is 0.0 Bohr magnetons per cell. The space group is P4/mmm. For the total energy, the calculation gives -19.58 eV per cell.

Record 10
Entry from Alexandria: a relaxed Zr2PaSiC4 crystal (PBE-GGA).

a = 5.803 Å, b = 5.803 Å, c = 11.377 Å
α = 90.00°, β = 90.00°, γ = 146.64°
Atoms (fractional coordinates):
Zr1 0.132 0.868 0.547
Zr2 0.132 0.868 0.953
Zr3 0.868 0.132 0.047
Zr4 0.868 0.132 0.453
Pa1 0.394 0.606 0.750
Pa2 0.606 0.394 0.250
Si1 0.339 0.661 0.250
Si2 0.661 0.339 0.750
C1 0.066 0.934 0.750
C2 0.229 0.771 0.127
C3 0.229 0.771 0.373
C4 0.500 0.500 0.000
C5 0.500 0.500 0.500
C6 0.771 0.229 0.627
C7 0.771 0.229 0.873
C8 0.934 0.066 0.250

Properties
Its spin magnetization is 0.0 Bohr magnetons per cell. The uncorrected formation energy is -0.409 eV/atom. The space group is Cmcm. For the total energy, the calculation gives -144.37 eV per cell.

Record 11
Entry from Alexandria: a relaxed GdThTlPb crystal (PBE-GGA).

a = 5.506 Å, b = 5.506 Å, c = 5.506 Å
α = 60.00°, β = 60.00°, γ = 60.00°
Atoms (fractional coordinates):
Gd1 0.000 0.000 0.000
Th1 0.500 0.500 0.500
Tl1 0.750 0.750 0.750
Pb1 0.250 0.250 0.250

Properties
Its spin magnetization is 7.6 Bohr magnetons per cell. The space group is F-43m. The formation energy comes out at -238 meV per atom. For the total energy, the calculation gives -28.53 eV per cell.

Record 12
Entry from Alexandria: a relaxed CdCoTe2 crystal (PBE-GGA).

a = 8.600 Å, b = 8.600 Å, c = 8.600 Å
α = 28.87°, β = 28.87°, γ = 28.87°
Atoms (fractional coordinates):
Cd1 0.000 0.000 0.000
Co1 0.500 0.500 0.500
Te1 0.401 0.401 0.401
Te2 0.599 0.599 0.599

Properties
Its spin magnetization is 2.3 Bohr magnetons per cell. The uncorrected formation energy is 0.413 eV/atom. The space group is R-3m. For the total energy, the calculation gives -12.65 eV per cell.